The following is a DFT calculation (PBE with a Hubbard U) of an optimized crystal structure of Mn2PO6.

a = 4.4634 Å, b = 4.4634 Å, c = 8.5270 Å
α = 90.00°, β = 90.00°, γ = 90.00°
With the nearest neighbours (Å) after each atom.
Fractional coordinates of all 18 atoms:
Mn1 0.0000 0.0000 0.1662  6 O 1.94-2.03
Mn2 0.0000 0.0000 0.8338  6 O 1.94-2.03
Mn3 0.5000 0.5000 0.3338  6 O 1.94-2.03
Mn4 0.5000 0.5000 0.6662  6 O 1.94-2.03
P1 0.0000 0.0000 0.5000  6 O 1.70-1.80
P2 0.5000 0.5000 0.0000  6 O 1.70-1.80
O1 0.1798 0.1798 0.3510  1 P 1.70
O2 0.1798 0.1798 0.6490  1 P 1.70
O3 0.2148 0.2148 0.0000  1 P 1.80, 2 Mn 1.96
O4 0.2852 0.7148 0.5000  1 P 1.80, 2 Mn 1.96
O5 0.3202 0.6798 0.1490  1 P 1.70
O6 0.3202 0.6798 0.8510  1 P 1.70
O7 0.6798 0.3202 0.1490  1 P 1.70
O8 0.6798 0.3202 0.8510  1 P 1.70
O9 0.7148 0.2852 0.5000  1 P 1.80, 2 Mn 1.96
O10 0.7852 0.7852 0.0000  1 P 1.80, 2 Mn 1.96
O11 0.8202 0.8202 0.3510  1 P 1.70
O12 0.8202 0.8202 0.6490  1 P 1.70

Volume: 9.44 Å³/atom
VASP energy: -128.1 eV for the cell shown
Space-group type: P4_2/mnm, No. 136
DOS(E_F): 0.225 states/eV per atom